(1)
The following is a PBE-GGA calculation of an optimized crystal structure of Ca4CuP, from Alexandria via LeMat-Bulk.

Lattice parameters (Å, degrees): 6.4046 6.4046 6.4046 60.00 60.00 60.00
Element x y z (fractional)
Ca 0.3760 0.3760 0.3760
Ca 0.3760 0.3760 0.8721
Ca 0.3760 0.8721 0.3760
Ca 0.8721 0.3760 0.3760
Cu 0.0000 0.0000 0.0000
P 0.7500 0.7500 0.7500

Computed properties:
**Crystal system**: cubic
**Energy relative to the elements**: 0.5652 eV per atom
**Calculated volume**: 185.76 Å³ per cell
**Space-group type**: F-43m (216)


(2)
The following is a PBE-GGA calculation of an optimized crystal structure of CaCu2P2, from Alexandria via LeMat-Bulk.

Lattice parameters (Å, degrees): 5.4361 5.4361 5.4361 133.30 133.30 68.19
Element x y z (fractional)
Ca 0.0000 0.0000 0.0000
Cu 0.3592 0.3592 0.0000
Cu 0.6408 0.6408 0.0000
P 0.2500 0.7500 0.5000
P 0.7500 0.2500 0.5000

Computed properties:
**Crystal system**: tetragonal
**Energy relative to the elements**: -0.3487 eV per atom
**Calculated volume**: 83.60 Å³ per cell
**Space-group type**: I4/mmm (139)


(3)
The following is a PBE-GGA calculation of an optimized crystal structure of CaCu2P, from Alexandria via LeMat-Bulk.

Lattice parameters (Å, degrees): 4.0740 3.9969 4.7420 90.00 90.15 90.00
Element x y z (fractional)
Ca 0.0000 0.0000 0.0000
Cu 0.4994 0.5000 0.7493
Cu 0.5006 0.5000 0.2507
P 0.5000 0.0000 0.5000

Computed properties:
**Crystal system**: monoclinic
**Energy relative to the elements**: -0.3172 eV per atom
**Calculated volume**: 77.22 Å³ per cell
**Space-group type**: P2/m (10)


- Which of these has the lowest energy relative to the elements?
  CaCu2P2


- calculated volume of number 2 (CaCu2P2)?
  83.60 Å³ per cell


- Which value of energy relative to the elements does entry 3 give?
  -0.3172 eV per atom